Here is crystalline Pr6Te3Pt2Au at its relaxed geometry from Alexandria via LeMat-Bulk. Energies are from PBE.

Properties
total moment = 0.00 Bohr magnetons per cell
raw formation energy = -1185 meV per atom
uncorrected energy = -0.2073 Ha/atom

POSCAR file:
```
Pr6Te3Pt2Au
1.0
3.743 -6.478 0.000
3.743 6.478 0.000
-2.479 0.000 7.649
Pr Te Pt Au
6 3 2 1
direct
0.079 0.426 0.779
0.225 0.225 0.217
0.426 0.079 0.779
0.574 0.921 0.221
0.775 0.775 0.783
0.921 0.574 0.221
0.000 0.000 0.500
0.338 0.662 0.500
0.662 0.338 0.500
0.168 0.832 0.000
0.832 0.168 0.000
0.500 0.500 0.000
```


Here is crystalline PrTmPtAu at its relaxed geometry from Alexandria via LeMat-Bulk. Energies are from PBE.

Properties
total moment = 0.00 Bohr magnetons per cell
excess energy over the best structure of this formula in the dataset = 0 meV per atom
energy of formation = -4.03 eV/f.u.
uncorrected energy = -0.2076 Ha/atom

POSCAR file:
```
PrTmPtAu
1.0
4.665 0.000 0.000
0.000 1.917 5.411
0.000 -1.917 5.411
Pr Tm Pt Au
1 1 1 1
direct
0.000 0.000 0.000
0.500 0.724 0.724
0.000 0.270 0.270
0.500 0.444 0.444
```


Here is crystalline PrTmPtAu at its relaxed geometry from Alexandria via LeMat-Bulk. Energies are from PBE.

Properties
total moment = 0.00 Bohr magnetons per cell
excess energy over the best structure of this formula in the dataset = 52 meV per atom
energy of formation = -3.82 eV/f.u.
uncorrected energy = -0.2057 Ha/atom

POSCAR file:
```
PrTmPtAu
1.0
0.000 3.601 3.601
3.601 0.000 3.601
3.601 3.601 0.000
Pr Tm Pt Au
1 1 1 1
direct
0.000 0.000 0.000
0.500 0.500 0.500
0.250 0.250 0.250
0.750 0.750 0.750
```


Here is crystalline PrYPtAu at its relaxed geometry from Alexandria via LeMat-Bulk. Energies are from PBE.

Properties
total moment = 0.00 Bohr magnetons per cell
excess energy over the best structure of this formula in the dataset = 61 meV per atom
energy of formation = -3.75 eV/f.u.
uncorrected energy = -0.2233 Ha/atom

POSCAR file:
```
PrYPtAu
1.0
0.000 3.626 3.626
3.626 0.000 3.626
3.626 3.626 0.000
Pr Y Pt Au
1 1 1 1
direct
0.000 0.000 0.000
0.500 0.500 0.500
0.250 0.250 0.250
0.750 0.750 0.750
```


Here is crystalline PrYPtAu at its relaxed geometry from Alexandria via LeMat-Bulk. Energies are from PBE.

Properties
total moment = 0.00 Bohr magnetons per cell
excess energy over the best structure of this formula in the dataset = 0 meV per atom
energy of formation = -3.99 eV/f.u.
uncorrected energy = -0.2256 Ha/atom

POSCAR file:
```
PrYPtAu
1.0
4.688 0.000 0.000
0.000 1.938 5.439
0.000 -1.938 5.439
Pr Y Pt Au
1 1 1 1
direct
0.000 0.000 0.000
0.500 0.724 0.724
0.000 0.272 0.272
0.500 0.445 0.445
```


Here is crystalline Pr2Zn4Pt3Au at its relaxed geometry from Alexandria via LeMat-Bulk. Energies are from PBE.

Properties
total moment = 0.00 Bohr magnetons per cell
energy of formation = -6.95 eV/f.u.
uncorrected energy = -0.1580 Ha/atom

POSCAR file:
```
Pr2Zn4Pt3Au
1.0
4.276 0.000 0.000
0.000 4.276 0.000
0.000 0.000 10.810
Pr Zn Pt Au
2 4 3 1
direct
0.000 0.500 0.250
0.500 0.000 0.750
0.000 0.000 0.000
0.000 0.500 0.634
0.500 0.000 0.366
0.500 0.500 0.000
0.000 0.500 0.865
0.500 0.000 0.135
0.500 0.500 0.500
0.000 0.000 0.500
```


Here is crystalline Pr2Zn4PtAu3 at its relaxed geometry from Alexandria via LeMat-Bulk. Energies are from PBE.

Properties
total moment = 0.00 Bohr magnetons per cell
energy of formation = -5.63 eV/f.u.
uncorrected energy = -0.1329 Ha/atom

POSCAR file:
```
Pr2Zn4PtAu3
1.0
4.370 0.000 0.000
0.000 4.370 0.000
0.000 0.000 10.770
Pr Zn Pt Au
2 4 1 3
direct
0.000 0.500 0.238
0.500 0.000 0.762
0.000 0.000 0.500
0.000 0.500 0.873
0.500 0.000 0.127
0.500 0.500 0.500
0.500 0.500 0.000
0.000 0.000 0.000
0.000 0.500 0.638
0.500 0.000 0.362
```


Here is crystalline PrPu2Au at its relaxed geometry from Alexandria via LeMat-Bulk. Energies are from PBE.

Properties
total moment = 11.97 Bohr magnetons per cell
excess energy over the best structure of this formula in the dataset = 0 meV per atom
energy of formation = -0.27 eV/f.u.
uncorrected energy = -0.3399 Ha/atom

POSCAR file:
```
PrPu2Au
1.0
3.788 0.000 0.000
0.000 3.788 0.000
0.000 0.000 7.762
Pr Pu Au
1 2 1
direct
0.000 0.000 0.000
0.500 0.500 0.295
0.500 0.500 0.705
0.000 0.000 0.500
```


Here is crystalline PrPuAu2 at its relaxed geometry from Alexandria via LeMat-Bulk. Energies are from PBE.

Properties
total moment = 5.87 Bohr magnetons per cell
excess energy over the best structure of this formula in the dataset = 0 meV per atom
energy of formation = -2.28 eV/f.u.
uncorrected energy = -0.2567 Ha/atom

POSCAR file:
```
PrPuAu2
1.0
3.900 0.000 0.000
0.000 4.759 0.000
-1.935 0.000 5.649
Pr Pu Au
1 1 2
direct
0.000 0.000 0.000
0.720 0.500 0.437
0.275 0.000 0.548
0.443 0.500 0.885
```


Here is crystalline PrPu2Au at its relaxed geometry from Alexandria via LeMat-Bulk. Energies are from PBE.

Properties
total moment = 12.67 Bohr magnetons per cell
excess energy over the best structure of this formula in the dataset = 69 meV per atom
energy of formation = 0.00 eV/f.u.
uncorrected energy = -0.3373 Ha/atom

POSCAR file:
```
PrPu2Au
1.0
0.000 3.710 3.710
3.710 0.000 3.710
3.710 3.710 0.000
Pr Pu Au
1 2 1
direct
0.000 0.000 0.000
0.250 0.250 0.250
0.750 0.750 0.750
0.500 0.500 0.500
```


Here is crystalline PrPuAu2 at its relaxed geometry from Alexandria via LeMat-Bulk. Energies are from PBE.

Properties
total moment = 5.74 Bohr magnetons per cell
excess energy over the best structure of this formula in the dataset = 0 meV per atom
energy of formation = -2.28 eV/f.u.
uncorrected energy = -0.2567 Ha/atom

POSCAR file:
```
PrPuAu2
1.0
3.683 0.000 0.000
0.000 3.683 0.000
0.000 0.000 7.412
Pr Pu Au
1 1 2
direct
0.000 0.000 0.000
0.000 0.000 0.500
0.500 0.500 0.253
0.500 0.500 0.747
```


Here is crystalline PrPuAu2 at its relaxed geometry from Alexandria via LeMat-Bulk. Energies are from PBE.

Properties
total moment = 5.88 Bohr magnetons per cell
excess energy over the best structure of this formula in the dataset = 12 meV per atom
energy of formation = -2.23 eV/f.u.
uncorrected energy = -0.2563 Ha/atom

POSCAR file:
```
PrPuAu2
1.0
0.000 3.698 3.698
3.698 0.000 3.698
3.698 3.698 0.000
Pr Pu Au
1 1 2
direct
0.000 0.000 0.000
0.500 0.500 0.500
0.250 0.250 0.250
0.750 0.750 0.750
```


Here is crystalline Pr5PuAu6 at its relaxed geometry from Alexandria via LeMat-Bulk. Energies are from PBE.

Properties
total moment = 5.87 Bohr magnetons per cell
energy of formation = -8.24 eV/f.u.
uncorrected energy = -0.2025 Ha/atom

POSCAR file:
```
Pr5PuAu6
1.0
-2.643 3.707 7.926
2.643 -3.707 7.926
2.643 3.707 -7.926
Pr Pu Au
5 1 6
direct
0.000 0.000 0.000
0.169 0.669 0.500
0.338 0.338 0.000
0.662 0.662 0.000
0.831 0.331 0.500
0.500 0.000 0.500
0.084 0.834 0.250
0.246 0.500 0.746
0.415 0.166 0.250
0.585 0.834 0.750
0.754 0.500 0.254
0.916 0.166 0.750
```


Here is crystalline Pr3PuAu7 at its relaxed geometry from Alexandria via LeMat-Bulk. Energies are from PBE.

Properties
total moment = 11.37 Bohr magnetons per cell
energy of formation = -6.69 eV/f.u.
uncorrected energy = -0.1948 Ha/atom

POSCAR file:
```
Pr3PuAu7
1.0
1.949 -11.198 0.000
1.949 11.198 0.000
0.000 0.000 12.883
Pr Pu Au
6 2 14
direct
0.141 0.859 0.558
0.141 0.859 0.942
0.191 0.809 0.250
0.809 0.191 0.750
0.859 0.141 0.058
0.859 0.141 0.442
0.004 0.996 0.250
0.996 0.004 0.750
0.278 0.722 0.569
0.278 0.722 0.931
0.380 0.620 0.250
0.403 0.597 0.635
0.403 0.597 0.865
0.464 0.536 0.082
0.464 0.536 0.418
0.536 0.464 0.582
0.536 0.464 0.918
0.597 0.403 0.135
0.597 0.403 0.365
0.620 0.380 0.750
0.722 0.278 0.069
0.722 0.278 0.431
```


Here is crystalline PrPu4Au5 at its relaxed geometry from Alexandria via LeMat-Bulk. Energies are from PBE.

Properties
total moment = 0.01 Bohr magnetons per cell
energy of formation = 1.88 eV/f.u.
uncorrected energy = -0.2816 Ha/atom

POSCAR file:
```
PrPu4Au5
1.0
3.896 0.000 0.000
0.000 3.896 0.000
0.000 0.000 15.183
Pr Pu Au
1 4 5
direct
0.000 0.000 0.000
0.000 0.000 0.233
0.000 0.000 0.381
0.000 0.000 0.619
0.000 0.000 0.767
0.500 0.500 0.116
0.500 0.500 0.309
0.500 0.500 0.500
0.500 0.500 0.691
0.500 0.500 0.884
```


Here is crystalline PrPu2Au3 at its relaxed geometry from Alexandria via LeMat-Bulk. Energies are from PBE.

Properties
total moment = 11.43 Bohr magnetons per cell
energy of formation = -3.02 eV/f.u.
uncorrected energy = -0.2836 Ha/atom

POSCAR file:
```
PrPu2Au3
1.0
3.617 0.000 0.000
0.000 3.617 0.000
0.000 0.000 11.371
Pr Pu Au
1 2 3
direct
0.000 0.000 0.000
0.000 0.000 0.336
0.000 0.000 0.664
0.500 0.500 0.170
0.500 0.500 0.500
0.500 0.500 0.830
```


Here is crystalline Pr4PuAu5 at its relaxed geometry from Alexandria via LeMat-Bulk. Energies are from PBE.

Properties
total moment = 5.71 Bohr magnetons per cell
energy of formation = -6.72 eV/f.u.
uncorrected energy = -0.2078 Ha/atom

POSCAR file:
```
Pr4PuAu5
1.0
3.702 0.000 0.000
0.000 3.702 0.000
0.000 0.000 18.824
Pr Pu Au
4 1 5
direct
0.000 0.000 0.101
0.000 0.000 0.304
0.000 0.000 0.696
0.000 0.000 0.899
0.000 0.000 0.500
0.500 0.500 0.000
0.500 0.500 0.202
0.500 0.500 0.402
0.500 0.500 0.598
0.500 0.500 0.798
```


Here is crystalline PrPuAu2 at its relaxed geometry from Alexandria via LeMat-Bulk. Energies are from PBE.

Properties
total moment = 6.01 Bohr magnetons per cell
excess energy over the best structure of this formula in the dataset = 128 meV per atom
energy of formation = -1.77 eV/f.u.
uncorrected energy = -0.2520 Ha/atom

POSCAR file:
```
PrPuAu2
1.0
2.174 1.255 6.973
-2.174 1.255 6.973
0.000 -2.510 6.973
Pr Pu Au
1 1 2
direct
0.000 0.000 0.000
0.500 0.500 0.500
0.248 0.248 0.248
0.752 0.752 0.752
```


Here is crystalline PrPuRuAu at its relaxed geometry from Alexandria via LeMat-Bulk. Energies are from PBE.

Properties
total moment = 5.25 Bohr magnetons per cell
energy of formation = -0.95 eV/f.u.
uncorrected energy = -0.2996 Ha/atom

POSCAR file:
```
PrPuRuAu
1.0
0.000 3.578 3.578
3.578 0.000 3.578
3.578 3.578 0.000
Pr Pu Ru Au
1 1 1 1
direct
0.000 0.000 0.000
0.500 0.500 0.500
0.750 0.750 0.750
0.250 0.250 0.250
```


Here is crystalline PrPuSiAu at its relaxed geometry from Alexandria via LeMat-Bulk. Energies are from PBE.

Properties
total moment = 6.16 Bohr magnetons per cell
raw formation energy = -441 meV per atom
uncorrected energy = -0.2717 Ha/atom

POSCAR file:
```
PrPuSiAu
1.0
0.000 3.659 3.659
3.659 0.000 3.659
3.659 3.659 0.000
Pr Pu Si Au
1 1 1 1
direct
0.000 0.000 0.000
0.500 0.500 0.500
0.250 0.250 0.250
0.750 0.750 0.750
```